# 1
A relaxed KZn4W crystal. Source: the Alexandria database, functional GGA-PBE.

## Properties
* space-group type: No. 216
* E_form: 15.7 kcal/mol of atoms
* Fermi-level density of states: 4.2 states/eV/cell

a = 5.291 Å, b = 5.291 Å, c = 5.291 Å
α = 60.00°, β = 60.00°, γ = 60.00°
Last column: magnetic moment on the atom in μB.
Fractional coordinates of all 6 atoms:
1 W 0.000 0.000 0.000  1.01
2 Zn 0.882 0.373 0.373  -0.01
3 Zn 0.373 0.373 0.882  -0.01
4 Zn 0.373 0.882 0.373  -0.01
5 Zn 0.373 0.373 0.373  -0.01
6 K 0.750 0.750 0.750  0.02

# 2
A relaxed Pr2NClO crystal. Source: the Alexandria database, functional GGA-PBE.

## Properties
* space-group type: No. 156
* calculated total energy: -7.29 eV per atom
* Fermi-level density of states: 0.0 states/eV/cell

a = 4.056 Å, b = 4.056 Å, c = 7.259 Å
α = 90.00°, β = 90.00°, γ = 120.00°
Fractional coordinates of all 5 atoms:
1 N 0.333 0.667 0.626
2 Pr 0.333 0.667 0.308
3 Pr 0.667 0.333 0.696
4 O 0.667 0.333 0.356
5 Cl 0.000 0.000 0.013

# 3
A relaxed CsCuSi2 crystal. Source: the Alexandria database, functional GGA-PBE.

## Properties
* space-group type: No. 225
* calculated total energy: -2.81 eV per atom
* Fermi-level density of states: 1.2 states/eV/cell

a = 5.054 Å, b = 5.054 Å, c = 5.054 Å
α = 60.00°, β = 60.00°, γ = 60.00°
Fractional coordinates of all 4 atoms:
1 Si 0.250 0.250 0.250
2 Si 0.750 0.750 0.750
3 Cu 0.000 0.000 0.000
4 Cs 0.500 0.500 0.500

# 4
A relaxed Y3Tm2ThS6 crystal. Source: the Alexandria database, functional GGA-PBE.

## Properties
* space-group type: No. 12
* calculated total energy: -6.98 eV per atom
* Fermi-level density of states: 6.0 states/eV/cell

a = 3.906 Å, b = 7.871 Å, c = 8.743 Å
α = 102.46°, β = 102.91°, γ = 90.00°
Fractional coordinates of all 12 atoms:
1 Y 0.161 0.834 0.323
2 Y 0.500 0.500 0.000
3 Y 0.839 0.166 0.677
4 Tm 0.165 0.330 0.329
5 Tm 0.835 0.670 0.671
6 S 0.328 0.908 0.655
7 S 0.670 0.579 0.339
8 S 0.003 0.262 0.007
9 S 0.997 0.738 0.993
10 S 0.330 0.421 0.661
11 S 0.672 0.092 0.345
12 Th 0.500 0.000 0.000

# 5
A relaxed Cd2InW crystal. Source: the Alexandria database, functional GGA-PBE.

## Properties
* space-group type: No. 8
* E_form: 12.5 kcal/mol of atoms
* Fermi-level density of states: 2.0 states/eV/cell

a = 5.331 Å, b = 5.331 Å, c = 5.411 Å
α = 78.73°, β = 78.73°, γ = 32.24°
Fractional coordinates of all 4 atoms:
1 Cd 0.255 0.255 0.224
2 Cd 0.011 0.011 0.013
3 W 0.743 0.743 0.723
4 In 0.491 0.491 0.541

# 6
A relaxed La2BeAs crystal. Source: the Alexandria database, functional GGA-PBE.

## Properties
* space-group type: No. 44
* E_form: -12.8 kcal/mol of atoms
* Fermi-level density of states: 1.7 states/eV/cell

a = 6.262 Å, b = 6.262 Å, c = 6.262 Å
α = 144.49°, β = 137.26°, γ = 56.74°
Fractional coordinates of all 4 atoms:
1 La 0.985 0.985 0.000
2 La 0.260 0.760 0.500
3 Be 0.689 0.189 0.500
4 As 0.567 0.567 0.000

# 7
A relaxed Rb2RuAuF6 crystal. Source: the Alexandria database, functional GGA-PBE.

## Properties
* space-group type: No. 139
* calculated total energy: -4.40 eV per atom
* Fermi-level density of states: 3.2 states/eV/cell

a = 6.694 Å, b = 6.694 Å, c = 6.332 Å
α = 58.09°, β = 58.09°, γ = 90.00°
Last column: magnetic moment on the atom in μB.
Fractional coordinates of all 10 atoms:
1 F 0.288 0.712 0.000  0.03
2 F 0.288 0.288 0.000  0.03
3 F 0.750 0.750 0.500  -0.01
4 F 0.250 0.250 0.500  -0.01
5 F 0.712 0.712 0.000  0.03
6 F 0.712 0.288 0.000  0.03
7 Au 0.000 0.000 0.000  -0.01
8 Rb 0.250 0.750 0.500  0.00
9 Rb 0.750 0.250 0.500  0.00
10 Ru 0.500 0.500 0.000  0.83